## CsSb3Pb3 (PBE)

Data for an optimized crystal structure of CsSb3Pb3.

Lattice parameters (Å, degrees): 8.6872 8.6872 8.6872 90.00 90.00 90.00
With the nearest neighbours (Å) after each atom.
Atoms (fractional coordinates):
Cs1 0.5000 0.5000 0.5000  12 Pb 4.86, 12 Sb 4.86
Pb1 0.5000 0.0000 0.2500  4 Sb 3.07
Sb1 0.5000 0.7500 0.0000  4 Pb 3.07
Sb2 0.0000 0.5000 0.7500  4 Pb 3.07
Pb2 0.0000 0.7500 0.5000  4 Sb 3.07
Pb3 0.7500 0.5000 0.0000  4 Sb 3.07
Cs2 0.0000 0.0000 0.0000  12 Pb 4.86, 12 Sb 4.86
Pb4 0.0000 0.2500 0.5000  4 Sb 3.07
Sb3 0.2500 0.0000 0.5000  4 Pb 3.07
Sb4 0.5000 0.2500 0.0000  4 Pb 3.07
Pb5 0.5000 0.0000 0.7500  4 Sb 3.07
Sb5 0.7500 0.0000 0.5000  4 Pb 3.07
Pb6 0.2500 0.5000 0.0000  4 Sb 3.07
Sb6 0.0000 0.5000 0.2500  4 Pb 3.07

**Uncorrected formation energy**: -0.026 eV per atom
**Excess energy over the best structure of this formula in the dataset**: 78.6 meV/atom
**Total DFT energy (no corrections)**: -49.06 eV/cell